Computed, not measured: a relaxed TbSmLuPb crystal at the PBE level of DFT.

Unit cell a=5.495 b=5.495 c=5.495 alpha=60.00 beta=60.00 gamma=60.00
Element x y z (fractional)
Pb  0.250  0.250  0.250
Sm  0.500  0.500  0.500
Tb  0.000  0.000  0.000
Lu  0.750  0.750  0.750

Its mass density is 9.78 g/cm³. As for the total energy: -4.5176 eV/atom. As for the formation energy from the elements: -0.123 eV/atom. For the volume, the calculation gives 29.34 Å³ per atom.

Computed, not measured: a relaxed SmLuTlPb crystal at the PBE level of DFT.

Unit cell a=5.419 b=5.419 c=5.419 alpha=60.00 beta=60.00 gamma=60.00
Element x y z (fractional)
Pb  0.500  0.500  0.500
Tl  0.000  0.000  0.000
Sm  0.750  0.750  0.750
Lu  0.250  0.250  0.250

Its mass density is 10.88 g/cm³. As for the total energy: -4.1564 eV/atom. As for the formation energy from the elements: -0.328 eV/atom. For the volume, the calculation gives 28.13 Å³ per atom.

Computed, not measured: a relaxed SmTmLuPb crystal at the PBE level of DFT.

Unit cell a=5.466 b=5.466 c=5.466 alpha=60.00 beta=60.00 gamma=60.00
Element x y z (fractional)
Pb  0.250  0.250  0.250
Sm  0.500  0.500  0.500
Tm  0.000  0.000  0.000
Lu  0.750  0.750  0.750

Its mass density is 10.09 g/cm³. As for the total energy: -4.4532 eV/atom. As for the formation energy from the elements: -0.098 eV/atom. For the volume, the calculation gives 28.87 Å³ per atom.

Computed, not measured: a relaxed LuSn2Pb crystal at the PBE level of DFT.

Unit cell a=4.703 b=4.770 c=4.770 alpha=90.00 beta=90.00 gamma=90.00
Element x y z (fractional)
Sn  0.000  0.500  0.000
Sn  0.000  0.000  0.500
Pb  0.500  0.000  0.000
Lu  0.500  0.500  0.500

Its mass density is 9.62 g/cm³. As for the total energy: -4.3289 eV/atom. As for the formation energy from the elements: -0.270 eV/atom. For the volume, the calculation gives 26.75 Å³ per atom.

Computed, not measured: a relaxed LuSnPb crystal at the PBE level of DFT.

Unit cell a=3.320 b=3.320 c=8.703 alpha=101.00 beta=101.00 gamma=90.00
Site moments in Bohr magnetons follow the coordinates.
Element x y z (fractional)
Lu  0.768  0.768  0.536  0.14
Sn  0.950  0.950  0.901  0.00
Pb  0.132  0.132  0.263  0.00

Its mass density is 9.00 g/cm³. As for the total energy: -4.0055 eV/atom. As for the formation energy from the elements: 0.072 eV/atom. The calculation puts the offset from the most stable computed form at 0.73 eV/f.u. For the volume, the calculation gives 30.80 Å³ per atom.

Computed, not measured: a relaxed LuSn2Pb crystal at the PBE level of DFT.

Unit cell a=4.124 b=4.124 c=6.433 alpha=90.00 beta=90.00 gamma=90.00
Element x y z (fractional)
Sn  0.000  0.000  0.734
Pb  0.500  0.500  0.000
Lu  0.500  0.500  0.500
Sn  0.000  0.000  0.266

Its mass density is 9.40 g/cm³. As for the total energy: -4.3093 eV/atom. As for the formation energy from the elements: -0.251 eV/atom. For the volume, the calculation gives 27.36 Å³ per atom.

Computed, not measured: a relaxed LuSnPb crystal at the PBE level of DFT.

Unit cell a=3.401 b=5.334 c=5.334 alpha=120.00 beta=90.00 gamma=90.00
Element x y z (fractional)
Sn  0.090  0.000  0.000
Pb  0.238  0.333  0.667
Lu  0.672  0.667  0.333

Its mass density is 9.93 g/cm³. As for the total energy: -4.2500 eV/atom. As for the formation energy from the elements: -0.173 eV/atom. The calculation puts the offset from the most stable computed form at 0.00 eV/f.u. For the volume, the calculation gives 27.93 Å³ per atom.

Computed, not measured: a relaxed LuSnPb2 crystal at the PBE level of DFT.

Unit cell a=4.704 b=4.855 c=4.855 alpha=90.00 beta=90.00 gamma=90.00
Element x y z (fractional)
Pb  0.000  0.000  0.500
Lu  0.500  0.500  0.500
Sn  0.500  0.000  0.000
Pb  0.000  0.500  0.000

Its mass density is 10.61 g/cm³. As for the total energy: -4.2058 eV/atom. As for the formation energy from the elements: -0.221 eV/atom. The calculation puts the offset from the most stable computed form at 0.00 eV/f.u. For the volume, the calculation gives 27.71 Å³ per atom.

Q: total energy of number 8 (LuSnPb2)?
A: -4.2058 eV/atom

Q: Look up the formation energy from the elements of the second one.
A: -0.328 eV/atom

Q: Which of these has the highest mass density?
A: SmLuTlPb